ZrPd after structural relaxation. Source: Alexandria via LeMat-Bulk, functional GGA-PBE.

Structure (CIF):
```
data_ZrPd
_cell_length_a 7.2098
_cell_length_b 7.2098
_cell_length_c 7.2098
_cell_angle_alpha 109.47
_cell_angle_beta 109.47
_cell_angle_gamma 109.47
_space_group_name_H-M_alt 'P 1'
_space_group_IT_number 1
_space_group_name_Hall 'P 1'
loop_
_atom_site_label
_atom_site_type_symbol
_atom_site_fract_x
_atom_site_fract_y
_atom_site_fract_z
_atom_site_occupancy
Zr1 Zr 0.0000 0.0000 0.7185 1
Zr2 Zr 0.0000 0.7185 0.0000 1
Zr3 Zr 0.2815 0.2815 0.2815 1
Zr4 Zr 0.7185 0.0000 0.0000 1
Pd1 Pd 0.0000 0.0000 0.3452 1
Pd2 Pd 0.0000 0.3452 0.0000 1
Pd3 Pd 0.3452 0.0000 0.0000 1
Pd4 Pd 0.6548 0.6548 0.6548 1
```

The crystal system is cubic. The final energy is -12.7 eV/f.u. Its energy relative to the elements is 0.513 eV/atom. The space group is I-43m. The value obtained for the density of states at the Fermi level is 4.9 states/eV/cell.